InTeCI2 | PBE-GGA | optimized geometry

extended XYZ file:
```
5
Lattice="-2.5274 -4.6222 3.0558 3.9521 0.8504 4.5550 -2.7911 2.7836 1.9020" Properties=species:S:1:pos:R:3 pbc="T T T"
In -0.6832 -0.4941 4.7564
C 0.0000 0.0000 0.0000
Te -1.3955 1.3918 0.9510
I 1.9761 0.4252 2.2775
I -1.2637 -2.3111 1.5279
```

Formation energy from raw total energies (eV/f.u.): 4.35
Symmetry: P4/mmm (123)
E (Ry per atom): -0.2037
Offset from the most stable computed form (meV/atom): 0.0